Entry from the Alexandria database: an optimized crystal structure of Rb3VCd (PBE).

a = 6.9228 Å, b = 6.9228 Å, c = 6.9228 Å
α = 90.00°, β = 90.00°, γ = 90.00°
Closest atoms and distances in Å follow each position.
Space group Pm-3m (No. 221)
One atom of each set of equivalent atoms:
Rb 0.0000 0.0000 0.5000 [3 per cell]  2 V 3.46
V 0.0000 0.0000 0.0000 [1 per cell]  6 Rb 3.46
Cd 0.5000 0.5000 0.5000 [1 per cell]  12 Rb 4.90

Calculated values
* theoretical density: 2.10 g/cm³
* D(E_F): 1.18 states/eV per atom
* DFT formation energy: 0.864 eV/atom
* energy relative to the lowest polymorph listed for this composition: 0.00 eV/f.u.